No. 1
Ca3YZn4 | GGA-PBE | optimized geometry

Lattice parameters (Å, degrees): 3.654 3.654 14.581 90.00 90.00 90.00
Sites, in units of the cell vectors:
Y (0.500, 0.500, 0.000)
Ca (0.500, 0.500, 0.247)
Zn (0.000, 0.000, 0.885)
Zn (0.000, 0.000, 0.374)
Zn (0.000, 0.000, 0.626)
Ca (0.500, 0.500, 0.500)
Ca (0.500, 0.500, 0.753)
Zn (0.000, 0.000, 0.115)

Computed properties:
ρ = 4.0 Mg/m³
ΔH_f (0 K) = -0.267 eV/atom
Total energy = -19.7 eV/cell
Symmetry = P4/mmm, No. 123



No. 2
CaYZn2 | GGA-PBE | optimized geometry

Lattice parameters (Å, degrees): 6.065 6.065 5.089 65.15 65.15 34.14
Sites, in units of the cell vectors:
Zn (0.028, 0.028, 0.972)
Y (0.278, 0.278, 0.222)
Zn (0.712, 0.712, 0.788)
Ca (0.482, 0.482, 0.518)

Computed properties:
ρ = 4.6 Mg/m³
ΔH_f (0 K) = -0.190 eV/atom
Total energy = -11.8 eV/cell
Symmetry = Imm2, No. 44



No. 3
Ca2YZn | GGA-PBE | optimized geometry

Lattice parameters (Å, degrees): 6.753 6.753 5.494 65.98 65.98 32.63
Sites, in units of the cell vectors:
Y (0.250, 0.250, 0.250)
Ca (0.454, 0.454, 0.546)
Zn (0.750, 0.750, 0.750)
Ca (0.046, 0.046, 0.954)

Computed properties:
ρ = 3.2 Mg/m³
ΔH_f (0 K) = -0.025 eV/atom
Total energy = -11.8 eV/cell
Symmetry = Immm, No. 71



No. 4
CaY2Zn | GGA-PBE | optimized geometry

Lattice parameters (Å, degrees): 5.131 5.130 4.284 90.00 90.00 90.00
Sites, in units of the cell vectors:
Y (0.500, 0.500, 0.000)
Ca (0.000, 0.500, 0.500)
Zn (0.500, 0.000, 0.500)
Y (0.000, 0.000, 0.000)

Computed properties:
ρ = 4.2 Mg/m³
ΔH_f (0 K) = 0.035 eV/atom
Total energy = -16.1 eV/cell
Symmetry = P4/mmm, No. 123



No. 5
CaYZn2 | GGA-PBE | optimized geometry

Lattice parameters (Å, degrees): 5.122 5.122 3.610 89.95 89.95 90.00
Sites, in units of the cell vectors:
Ca (0.500, 0.000, 0.500)
Zn (0.500, 0.500, 0.000)
Zn (0.000, 0.000, 0.000)
Y (0.000, 0.500, 0.500)

Computed properties:
ρ = 4.6 Mg/m³
ΔH_f (0 K) = -0.309 eV/atom
Total energy = -12.2 eV/cell
Symmetry = P4/mmm, No. 123



No. 6
Ca2YZn | GGA-PBE | optimized geometry

Lattice parameters (Å, degrees): 4.756 4.756 5.286 90.00 90.00 90.00
Sites, in units of the cell vectors:
Ca (0.500, 0.500, 0.000)
Y (0.500, 0.000, 0.500)
Ca (0.000, 0.000, 0.000)
Zn (0.000, 0.500, 0.500)

Computed properties:
ρ = 3.3 Mg/m³
ΔH_f (0 K) = 0.052 eV/atom
Total energy = -11.5 eV/cell
Symmetry = P4/mmm, No. 123